Run P
Tm8ThSc6: relaxed, PBE.

Properties
N(E_F): 23.86 states/eV per cell
Calculated density: 7.2 g cm⁻³

a b c (Å): 9.350 9.350 7.801
angles (deg): 53.18 53.18 60.00
Fractional coordinates of all 15 atoms:
Tm1 0.353 0.230 0.486
Tm2 0.770 0.069 0.514
Tm3 0.069 0.647 0.514
Tm4 0.592 0.592 0.225
Tm5 0.408 0.408 0.775
Tm6 0.931 0.353 0.486
Tm7 0.230 0.931 0.486
Tm8 0.647 0.770 0.514
Th1 0.000 0.000 0.000
Sc1 0.379 0.943 0.970
Sc2 0.057 0.292 0.030
Sc3 0.292 0.621 0.030
Sc4 0.708 0.379 0.970
Sc5 0.943 0.708 0.970
Sc6 0.621 0.057 0.030

Run Q
Tm8ThSc6: relaxed, PBE.

Properties
N(E_F): 23.40 states/eV per cell
Calculated density: 7.0 g cm⁻³

a b c (Å): 6.263 8.994 8.994
angles (deg): 120.00 90.00 90.00
Fractional coordinates of all 15 atoms:
Tm1 0.895 0.962 0.309
Tm2 0.895 0.691 0.652
Tm3 0.895 0.348 0.038
Tm4 0.105 0.038 0.691
Tm5 0.105 0.309 0.348
Tm6 0.105 0.652 0.962
Tm7 0.780 0.333 0.667
Tm8 0.220 0.667 0.333
Th1 0.500 0.000 0.000
Sc1 0.594 0.674 0.072
Sc2 0.594 0.928 0.602
Sc3 0.594 0.398 0.326
Sc4 0.406 0.326 0.928
Sc5 0.406 0.072 0.398
Sc6 0.406 0.602 0.674

Which structure is the least stable? The one labeled run Q.

Run P
TmThZrSc: relaxed, PBE.

Properties
N(E_F): 5.29 states/eV per cell
Calculated density: 8.1 g cm⁻³

a b c (Å): 3.453 3.452 10.823
angles (deg): 89.99 99.22 119.96
Fractional coordinates of all 4 atoms:
Tm1 0.972 0.385 0.372
Th1 0.302 0.549 0.865
Zr1 0.469 0.132 0.617
Sc1 0.135 0.966 0.115

Run Q
TmThZrSc: relaxed, PBE.

Properties
N(E_F): 6.64 states/eV per cell
Calculated density: 8.2 g cm⁻³

a b c (Å): 5.347 5.347 5.347
angles (deg): 60.00 60.00 60.00
Fractional coordinates of all 4 atoms:
Sc1 0.000 0.000 0.000
Tm1 0.750 0.750 0.750
Zr1 0.500 0.500 0.500
Th1 0.250 0.250 0.250

Which structure is the least stable? The one labeled run Q.

Run P
YThSc: relaxed, PBE.

Properties
N(E_F): 4.76 states/eV per cell
Calculated density: 6.8 g cm⁻³

a b c (Å): 3.516 3.516 7.642
angles (deg): 103.30 103.30 90.00
Fractional coordinates of all 3 atoms:
Y1 0.999 0.999 0.999
Sc1 0.672 0.672 0.345
Th1 0.328 0.328 0.656

Run Q
YThSc: relaxed, PBE.

Properties
N(E_F): 9.15 states/eV per cell
Calculated density: 6.6 g cm⁻³

a b c (Å): 3.356 5.649 9.685
angles (deg): 90.00 90.00 90.00
Fractional coordinates of all 6 atoms:
Sc1 0.500 0.000 0.760
Sc2 0.000 0.500 0.240
Y1 0.000 0.000 0.438
Y2 0.500 0.500 0.562
Th1 0.500 0.500 0.931
Th2 0.000 0.000 0.069

Run R
YThSc: relaxed, PBE.

Properties
N(E_F): 6.98 states/eV per cell
Calculated density: 6.8 g cm⁻³

a b c (Å): 3.402 5.515 5.515
angles (deg): 120.00 90.00 90.00
Fractional coordinates of all 3 atoms:
Y1 0.667 0.667 0.333
Sc1 0.166 0.333 0.667
Th1 0.167 0.000 0.000

Which structure is the least stable? The one labeled run Q.

Run P
YThSc: relaxed, PBE.

Properties
N(E_F): 20.57 states/eV per cell
Calculated density: 6.8 g cm⁻³

a b c (Å): 5.538 9.597 6.724
angles (deg): 90.00 90.00 90.00
Fractional coordinates of all 12 atoms:
Y1 0.996 0.167 0.500
Y2 0.496 0.333 0.500
Y3 0.504 0.667 0.500
Y4 0.004 0.833 0.500
Th1 0.999 0.833 0.000
Th2 0.499 0.667 0.000
Th3 0.501 0.333 0.000
Th4 0.001 0.167 0.000
Sc1 0.000 0.500 0.242
Sc2 0.500 0.000 0.242
Sc3 0.500 0.000 0.758
Sc4 0.000 0.500 0.758

Run Q
YThSc: relaxed, PBE.

Properties
N(E_F): 7.98 states/eV per cell
Calculated density: 6.8 g cm⁻³

a b c (Å): 3.469 6.680 9.361
angles (deg): 59.72 90.03 74.98
Fractional coordinates of all 6 atoms:
Y1 0.640 0.718 0.023
Y2 0.360 0.282 0.977
Th1 0.884 0.232 0.652
Th2 0.116 0.768 0.348
Sc1 0.373 0.250 0.340
Sc2 0.627 0.750 0.660

Which structure is the least stable? The one labeled run P.